No. 1
A relaxed structure of ScTc2Os. Source: Alexandria via LeMat-Bulk, functional PBE-GGA.

Computed properties:
**Formation energy**: -0.003 eV per atom
**Space group**: Fm-3m
**Polymorph energy (0 for the lowest one)**: 0.0546 eV per atom

```
ScTc2Os
1.0
0.0000 3.1362 3.1362
3.1362 0.0000 3.1362
3.1362 3.1362 0.0000
Sc Tc Os
1 2 1
Cartesian
0.0000 0.0000 0.0000
1.5681 1.5681 1.5681
4.7043 4.7043 4.7043
3.1362 3.1362 3.1362
```

No. 2
A relaxed structure of ErPd6Au5. Source: Alexandria via LeMat-Bulk, functional PBE-GGA.

Computed properties:
**Formation energy**: -0.375 eV per atom
**Space group**: C2/m
**Polymorph energy (0 for the lowest one)**: 0.0000 eV per atom

```
ErPd6Au5
1.0
2.1075 -6.2315 0.0000
2.1075 6.2315 0.0000
-0.0284 0.0000 7.8118
Er Pd Au
1 6 5
Cartesian
0.0000 0.0000 0.0000
2.1000 4.1421 1.9682
2.0866 4.1421 5.8437
2.0833 0.0000 5.8615
2.1033 0.0000 1.9503
2.1000 -4.1421 1.9682
2.0866 -4.1421 5.8437
-0.0142 0.0000 3.9059
2.1075 2.1000 0.0000
2.0933 2.0477 3.9059
2.0933 -2.0477 3.9059
2.1075 -2.1000 0.0000
```

No. 3
A relaxed structure of CsBe2AlH8. Source: Alexandria via LeMat-Bulk, functional PBE-GGA.

Computed properties:
**Raw total energy**: -3.369 eV per atom
**Space group**: R-3

```
CsBe2AlH8
1.0
2.2415 1.2941 8.4449
-2.2415 1.2941 8.4449
0.0000 -2.5882 8.4449
Cs Be Al H
1 2 1 8
Cartesian
0.0000 0.0000 0.0000
0.0000 0.0000 5.7139
0.0000 0.0000 19.6208
0.0000 0.0000 12.6674
-1.3730 -0.2347 11.6442
-0.4833 -1.3064 13.6906
0.0000 0.0000 7.1161
-0.8897 1.0718 13.6906
0.8897 -1.0718 11.6442
0.0000 0.0000 18.2186
0.4833 1.3064 11.6442
1.3730 0.2347 13.6906
```

| no. | V (Å³/cell) |
| --- | --- |
| 1 | 61.69 |
| 2 | 205.18 |
| 3 | 146.98 |